Record 1
# MgZrTiRe

An optimized crystal structure of MgZrTiRe (PBE, Alexandria).

Results
E_tot = -7.697 eV/atom
Energy relative to the elements = -0.08 eV/atom

a b c (Å): 4.6645 4.6645 4.6645
angles (deg): 60.00 60.00 60.00
With the nearest neighbours (Å) after each atom.
Fractional coordinates of all 4 atoms:
Mg: 0.0000 0.0000 0.0000  4 Zr 2.86, 4 Ti 2.86
Zr: 0.7500 0.7500 0.7500  4 Re 2.86, 4 Mg 2.86
Ti: 0.2500 0.2500 0.2500  4 Re 2.86, 4 Mg 2.86
Re: 0.5000 0.5000 0.5000  4 Zr 2.86, 4 Ti 2.86

=====

Record 2
# Mg2TlRe

An optimized crystal structure of Mg2TlRe (PBE, Alexandria).

Results
Excess energy over the best structure of this formula in the dataset = 444 meV per atom
E_tot = -3.684 eV/atom
Energy relative to the elements = 0.82 eV/atom

a b c (Å): 7.6269 7.6269 6.0870
angles (deg): 51.21 51.21 90.00
With the nearest neighbours (Å) after each atom.
Fractional coordinates of all 8 atoms:
Mg: 0.6097 0.1250 0.2500  2 Re 2.71, 2 Mg 2.83, 2 Tl 2.87
Mg: 0.3750 0.3903 0.7500  2 Re 2.71, 2 Mg 2.83, 2 Tl 2.87
Mg: 0.1403 0.6250 0.2500  2 Re 2.71, 2 Mg 2.83, 2 Tl 2.87
Mg: 0.8750 0.8597 0.7500  2 Re 2.71, 2 Mg 2.83, 2 Tl 2.87
Re: 0.5000 0.5000 0.0000  4 Mg 2.71, 2 Tl 2.82
Re: 0.2500 0.7500 0.5000  4 Mg 2.71, 2 Tl 2.82
Tl: 0.0000 0.0000 0.0000  2 Re 2.82, 4 Mg 2.87
Tl: 0.7500 0.2500 0.5000  2 Re 2.82, 4 Mg 2.87

=====

Record 3
# Mg3TlRe

An optimized crystal structure of Mg3TlRe (PBE, Alexandria).

Results
Excess energy over the best structure of this formula in the dataset = 0 meV per atom
E_tot = -3.070 eV/atom
Energy relative to the elements = 0.85 eV/atom

a b c (Å): 5.1645 5.1645 5.1645
angles (deg): 90.00 90.00 90.00
With the nearest neighbours (Å) after each atom.
Fractional coordinates of all 5 atoms:
Mg: 0.5000 0.0000 0.0000  2 Re 2.58
Mg: 0.0000 0.5000 0.0000  2 Re 2.58
Mg: 0.0000 0.0000 0.5000  2 Re 2.58
Tl: 0.5000 0.5000 0.5000  12 Mg 3.65
Re: 0.0000 0.0000 0.0000  6 Mg 2.58